Below is crystalline Pr5Sc4Au4 at its relaxed geometry, with properties calculated at the PBE level.

Cell: 3.830 9.701 9.701 Å, 87.77 78.61 78.61°
Element x y z (fractional)
Pr1 0.712 0.931 0.646
Pr2 0.288 0.069 0.354
Pr3 0.000 0.000 0.000
Pr4 0.643 0.646 0.069
Pr5 0.357 0.354 0.931
Sc1 0.884 0.543 0.690
Sc2 0.574 0.310 0.543
Sc3 0.116 0.457 0.310
Sc4 0.426 0.690 0.457
Au1 0.762 0.284 0.192
Au2 0.238 0.716 0.808
Au3 0.954 0.808 0.284
Au4 0.046 0.192 0.716

Output
E_form = -0.48 eV per atom
VASP energy = -5.277 eV/atom
V = 26.64 Å³/atom